The following is a DFT calculation (PBE) of a geometry-optimized SrNb2Re structure.

Unit cell a=9.586 b=9.586 c=9.586 alpha=148.99 beta=148.99 gamma=44.42
Fractional coordinates of all 8 atoms:
1 Sr 0.375 0.625 0.750
2 Sr 0.625 0.375 0.250
3 Nb 0.000 0.000 0.000
4 Nb 0.000 0.000 0.500
5 Nb 0.000 0.500 0.000
6 Nb 0.500 0.000 0.500
7 Re 0.125 0.875 0.250
8 Re 0.875 0.125 0.750

## Properties
Polymorph energy (0 for the lowest one)   45.1 kJ per mole of atoms
Space-group type   I4_1/amd, No. 141
Size of the total moment   0.000 μB/cell
Total energy   -7.334 eV/atom
Energy of formation   1234 meV/atom

The following is a DFT calculation (PBE) of a geometry-optimized NdTh2Sc structure.

Unit cell a=11.662 b=11.662 c=11.662 alpha=17.40 beta=17.40 gamma=17.40
Fractional coordinates of all 4 atoms:
1 Nd 0.000 0.000 0.000
2 Th 0.581 0.581 0.581
3 Th 0.756 0.756 0.756
4 Sc 0.170 0.170 0.170

## Properties
Polymorph energy (0 for the lowest one)   2.8 kJ per mole of atoms
Space-group type   R3m, No. 160
Size of the total moment   0.000 μB/cell
Total energy   -6.414 eV/atom
Energy of formation   71 meV/atom